(1)
{"formula": "CaTi2H2O6", "functional": "meta-GGA SCAN", "state": "PBEsol geometry", "lattice_angstrom": [[4.920, 0.000, 0.005], [0.000, 12.057, 0.000], [-2.433, 0.000, 15.613]], "species": ["H", "H", "H", "H", "H", "H", "H", "H", "H", "H", "H", "H", "H", "H", "H", "H", "O", "O", "O", "O", "O", "O", "O", "O", "O", "O", "O", "O", "O", "O", "O", "O", "O", "O", "O", "O", "O", "O", "O", "O", "O", "O", "O", "O", "O", "O", "O", "O", "O", "O", "O", "O", "O", "O", "O", "O", "O", "O", "O", "O", "O", "O", "O", "O", "Ti", "Ti", "Ti", "Ti", "Ti", "Ti", "Ti", "Ti", "Ti", "Ti", "Ti", "Ti", "Ti", "Ti", "Ti", "Ti", "Ca", "Ca", "Ca", "Ca", "Ca", "Ca", "Ca", "Ca"], "frac_coords": [[0.434, 0.200, 0.208], [0.034, 0.578, 0.704], [0.466, 0.078, 0.796], [0.288, 0.656, 0.695], [0.066, 0.700, 0.292], [0.788, 0.844, 0.195], [0.966, 0.422, 0.296], [0.212, 0.156, 0.805], [0.566, 0.800, 0.792], [0.845, 0.254, 0.795], [0.712, 0.344, 0.305], [0.534, 0.922, 0.204], [0.155, 0.746, 0.205], [0.655, 0.754, 0.705], [0.934, 0.300, 0.708], [0.345, 0.246, 0.295], [0.231, 0.003, 0.965], [0.560, 0.288, 0.380], [0.736, 0.780, 0.765], [0.385, 0.808, 0.017], [0.885, 0.692, 0.517], [0.115, 0.308, 0.483], [0.711, 0.893, 0.237], [0.454, 0.598, 0.958], [0.540, 0.102, 0.487], [0.546, 0.402, 0.042], [0.960, 0.602, 0.013], [0.035, 0.880, 0.625], [0.169, 0.189, 0.047], [0.327, 0.845, 0.838], [0.173, 0.345, 0.662], [0.213, 0.481, 0.366], [0.787, 0.519, 0.634], [0.211, 0.607, 0.737], [0.269, 0.503, 0.535], [0.287, 0.981, 0.134], [0.764, 0.280, 0.735], [0.669, 0.311, 0.547], [0.713, 0.019, 0.866], [0.046, 0.098, 0.542], [0.615, 0.192, 0.983], [0.940, 0.788, 0.120], [0.318, 0.965, 0.342], [0.465, 0.380, 0.875], [0.060, 0.212, 0.880], [0.182, 0.465, 0.158], [0.040, 0.398, 0.987], [0.460, 0.898, 0.513], [0.954, 0.902, 0.458], [0.831, 0.811, 0.953], [0.331, 0.689, 0.453], [0.818, 0.535, 0.842], [0.535, 0.620, 0.125], [0.682, 0.035, 0.658], [0.440, 0.712, 0.620], [0.789, 0.393, 0.263], [0.731, 0.497, 0.465], [0.673, 0.155, 0.162], [0.965, 0.120, 0.375], [0.289, 0.107, 0.763], [0.264, 0.220, 0.235], [0.769, 0.997, 0.035], [0.827, 0.655, 0.338], [0.236, 0.720, 0.265], [0.674, 0.697, 0.042], [0.277, 0.513, 0.062], [0.417, 0.387, 0.450], [0.777, 0.987, 0.562], [0.583, 0.613, 0.550], [0.723, 0.487, 0.938], [0.826, 0.197, 0.458], [0.026, 0.590, 0.428], [0.326, 0.303, 0.958], [0.974, 0.410, 0.572], [0.474, 0.090, 0.072], [0.083, 0.887, 0.050], [0.174, 0.803, 0.542], [0.526, 0.910, 0.928], [0.917, 0.113, 0.950], [0.223, 0.013, 0.438], [0.021, 0.051, 0.241], [0.585, 0.812, 0.374], [0.415, 0.188, 0.626], [0.915, 0.312, 0.126], [0.479, 0.551, 0.259], [0.521, 0.449, 0.741], [0.085, 0.688, 0.874], [0.979, 0.949, 0.759]], "final_energy_ev_per_atom": -10.598}


(2)
{"formula": "CaZnH2O", "functional": "meta-GGA SCAN", "state": "PBEsol geometry", "lattice_angstrom": [[-1.259, 2.832, -1.060], [-2.736, -1.555, -0.905], [-2.879, 1.204, 6.637]], "species": ["Ca", "H", "H", "O", "Zn"], "frac_coords": [[0.000, 0.000, 0.500], [0.500, 0.000, 0.000], [0.000, 0.500, 0.000], [0.500, 0.500, 0.500], [0.000, 0.000, 0.000]], "final_energy_ev_per_atom": -8.065}


(3)
{"formula": "Ca2HOs", "functional": "meta-GGA SCAN", "state": "PBEsol geometry", "lattice_angstrom": [[-3.927, 3.310, 2.668], [1.343, -4.545, 3.323], [4.824, 3.047, -0.972]], "species": ["Ca", "Ca", "Ca", "Ca", "H", "H", "Os", "Os"], "frac_coords": [[0.922, 0.547, 0.125], [0.078, 0.203, 0.625], [0.422, 0.875, 0.797], [0.578, 0.375, 0.453], [0.500, 0.250, 0.750], [0.000, 0.500, 0.500], [0.000, 0.000, 0.000], [0.500, 0.750, 0.250]], "final_energy_ev_per_atom": -23.168}


(4)
{"formula": "CaPH", "functional": "meta-GGA SCAN", "state": "PBEsol geometry", "lattice_angstrom": [[3.972, 0.000, -0.005], [0.000, 4.367, 0.000], [-0.758, 0.000, 5.844]], "species": ["Ca", "Ca", "H", "H", "P", "P"], "frac_coords": [[0.745, 0.750, 0.749], [0.255, 0.250, 0.251], [0.443, 0.750, 0.104], [0.557, 0.250, 0.896], [0.237, 0.250, 0.743], [0.763, 0.750, 0.257]], "final_energy_ev_per_atom": -8.688}


(5)
{"formula": "CaPH2", "functional": "meta-GGA SCAN", "state": "PBEsol geometry", "lattice_angstrom": [[3.977, 0.000, 0.000], [1.989, 3.444, 0.000], [1.989, 1.148, 3.247]], "species": ["H", "H", "P", "Ca"], "frac_coords": [[0.250, 0.250, 0.250], [0.750, 0.750, 0.750], [0.000, 0.000, 0.000], [0.500, 0.500, 0.500]], "final_energy_ev_per_atom": -6.754}


no.,total magnetic moment (μB/cell)
1,0.00
2,0.00
3,2.16
4,0.00
5,0.00